Sr4C: relaxed, PBE.

It has space group I4/m (No. 87), with a = 9.9859 Å, b = 9.9859 Å, c = 3.6002 Å, α = 90.00°, β = 90.00° and γ = 90.00°. Symmetry generates all atoms from Sr at (0.0462, 0.2253, 0.0000) and C at (0.0000, 0.0000, 0.5000).

The relative energy among the computed polymorphs is 72.5 meV/atom. The density of states at the Fermi level comes out at 8.5 states/eV/cell. The volume comes out at 359.00 Å³/cell. The value obtained for the formation energy is 0.462 eV per atom. Its crystal system is tetragonal.

NiOsCl2: relaxed, PBE.

It has space group Fm-3m (No. 225), with a = 6.1166 Å, b = 6.1166 Å, c = 6.1166 Å, α = 90.00°, β = 90.00° and γ = 90.00°. Symmetry generates all atoms from Ni at (0.0000, 0.0000, 0.0000), Os at (0.0000, 0.0000, 0.5000) and Cl at (0.2500, 0.2500, 0.2500).

The relative energy among the computed polymorphs is 947.6 meV/atom. The density of states at the Fermi level comes out at 18.9 states/eV/cell. The volume comes out at 228.83 Å³/cell. The calculation puts the uncorrected formation energy at 1.154 eV/atom. Its crystal system is cubic.

OsI: relaxed, PBE.

It has space group Fddd (No. 70, origin choice 2), with a = 7.3363 Å, b = 8.0900 Å, c = 12.9602 Å, α = 90.00°, β = 90.00° and γ = 90.00°. Symmetry generates all atoms from Os at (0.1250, 0.1250, 0.0284) and I at (0.1250, 0.3265, 0.6250).

The relative energy among the computed polymorphs is 600.9 meV/atom. The density of states at the Fermi level comes out at 41.9 states/eV/cell. The volume comes out at 769.20 Å³/cell. The calculation puts the uncorrected formation energy at 1.209 eV/atom. Its crystal system is orthorhombic.

Sc4Co2Rh: relaxed, PBE.

It has space group R-3m (No. 166, hexagonal axes), with a = 4.4306 Å, b = 4.4306 Å, c = 21.6932 Å, α = 90.00°, β = 90.00° and γ = 120.00°. Symmetry generates all atoms from Sc at (0.0000, 0.0000, 0.1204), Sc at (0.0000, 0.0000, 0.3722), Co at (0.0000, 0.0000, 0.2475) and Rh at (0.0000, 0.0000, 0.5000).

The density of states at the Fermi level comes out at 13.2 states/eV/cell. The volume comes out at 368.79 Å³/cell. The value obtained for the formation energy is -0.460 eV per atom. Its crystal system is trigonal.

LiMnGe2: relaxed, PBE.

It has space group R3m (No. 160, hexagonal axes), with a = 2.9258 Å, b = 2.9258 Å, c = 24.2648 Å, α = 90.00°, β = 90.00° and γ = 120.00°. Symmetry generates all atoms from Li at (0.0000, 0.0000, 0.0000), Mn at (0.0000, 0.0000, 0.1642), Ge at (0.0000, 0.0000, 0.5730) and Ge at (0.0000, 0.0000, 0.7563).

The relative energy among the computed polymorphs is 56.8 meV/atom. The density of states at the Fermi level comes out at 4.5 states/eV/cell. The volume comes out at 179.89 Å³/cell. The value obtained for the formation energy is -0.069 eV per atom. Its crystal system is trigonal.

Ce2NO: relaxed, PBE.

It has space group R3m (No. 160, hexagonal axes), with a = 3.4698 Å, b = 3.4698 Å, c = 18.4769 Å, α = 90.00°, β = 90.00° and γ = 120.00°. Symmetry generates all atoms from Ce at (0.0000, 0.0000, 0.0000), Ce at (0.0000, 0.0000, 0.1775), N at (0.0000, 0.0000, 0.5897) and O at (0.0000, 0.0000, 0.4202).

The relative energy among the computed polymorphs is 184.6 meV/atom. The density of states at the Fermi level comes out at 17.4 states/eV/cell. The volume comes out at 192.65 Å³/cell. The calculation puts the uncorrected formation energy at -2.058 eV/atom. Its crystal system is trigonal.

RbPmIn2Cl6: relaxed, PBE.

It has space group P1 (No. 1), with a = 7.9309 Å, b = 7.9358 Å, c = 8.1737 Å, α = 61.00°, β = 60.99° and γ = 60.04°. Symmetry generates all atoms from Rb at (0.0000, 0.0000, 0.0000), Pm at (0.4898, 0.4899, 0.5303), In at (0.2867, 0.2877, 0.1389), In at (0.7916, 0.7916, 0.6252), Cl at (0.1365, 0.4000, 0.7961), Cl at (0.2423, 0.8267, 0.3267), Cl at (0.3997, 0.6670, 0.7965), Cl at (0.6044, 0.2425, 0.3264), Cl at (0.6667, 0.1371, 0.7965) and Cl at (0.8268, 0.6044, 0.3270).

The density of states at the Fermi level comes out at 0.0 states/eV/cell. The volume comes out at 369.23 Å³/cell. The calculation puts the uncorrected formation energy at -1.650 eV/atom. Its crystal system is triclinic.

HfScRePd: relaxed, PBE.

It has space group F-43m (No. 216), with a = 6.5535 Å, b = 6.5535 Å, c = 6.5535 Å, α = 90.00°, β = 90.00° and γ = 90.00°. Symmetry generates all atoms from Hf at (0.0000, 0.0000, 0.0000), Sc at (0.0000, 0.0000, 0.5000), Re at (0.2500, 0.2500, 0.2500) and Pd at (0.2500, 0.2500, 0.7500).

The density of states at the Fermi level comes out at 5.0 states/eV/cell. The volume comes out at 281.46 Å³/cell. The value obtained for the formation energy is -0.516 eV per atom. Its crystal system is cubic.